[1]
# RbLiCa3 (PBE-GGA, optimized geometry)
data_RbLiCa3
_space_group_name_H-M_alt 'P m -3 m'
_space_group_IT_number 221
_space_group_name_Hall '-P 4 2 3'
_cell_length_a 6.183
_cell_length_b 6.183
_cell_length_c 6.183
_cell_angle_alpha 90.00
_cell_angle_beta 90.00
_cell_angle_gamma 90.00
loop_
_atom_site_label
_atom_site_type_symbol
_atom_site_fract_x
_atom_site_fract_y
_atom_site_fract_z
Rb1 Rb 0.000 0.000 0.000
Li1 Li 0.500 0.500 0.500
Ca1 Ca 0.000 0.500 0.500
# * energy above the lowest structure with this stoichiometry: 0 meV/atom
# * formation enthalpy at 0 K: 0.2202 eV per atom
# * energy: -0.1144 Ry/atom

---

[2]
# KHf (PBE-GGA, optimized geometry)
data_KHf
_space_group_name_H-M_alt 'P 21 21 21'
_space_group_IT_number 19
_space_group_name_Hall 'P 2ac 2ab'
_cell_length_a 7.026
_cell_length_b 7.068
_cell_length_c 10.246
_cell_angle_alpha 90.00
_cell_angle_beta 90.00
_cell_angle_gamma 90.00
loop_
_atom_site_label
_atom_site_type_symbol
_atom_site_fract_x
_atom_site_fract_y
_atom_site_fract_z
K1 K 0.056 0.065 0.249
K2 K 0.245 0.182 0.526
Hf1 Hf 0.063 0.583 0.701
Hf2 Hf 0.169 0.321 0.951
# * energy above the lowest structure with this stoichiometry: 621 meV/atom
# * formation enthalpy at 0 K: 1.1309 eV per atom
# * energy: -0.3230 Ry/atom

---

no.,V (A^3/atom)
1,47.27
2,31.80